(1)
# CsSiHg2Se4 (PBE-GGA, optimized geometry)
data_CsSiHg2Se4
_symmetry_space_group_name_H-M 'P 1'
_symmetry_Int_Tables_number 1
_symmetry_space_group_name_Hall 'P 1'
_cell_length_a 7.427
_cell_length_b 7.427
_cell_length_c 6.937
_cell_angle_alpha 122.22
_cell_angle_beta 122.22
_cell_angle_gamma 90.22
loop_
_atom_site_label
_atom_site_type_symbol
_atom_site_fract_x
_atom_site_fract_y
_atom_site_fract_z
Se1 Se 0.172 0.172 0.709
Se2 Se 0.456 0.820 0.277
Se3 Se 0.820 0.456 0.277
Se4 Se 0.537 0.537 0.709
Cs1 Cs 0.998 0.998 0.996
Hg1 Hg 0.759 0.259 0.518
Hg2 Hg 0.259 0.759 0.518
Si1 Si 0.499 0.499 0.998
# total moment = 0.00 μB per cell
# electronic total energy = -0.226 Ry/atom
# uncorrected formation energy = -3.83 eV per formula unit



(2)
# LiNdDyPt (PBE-GGA, optimized geometry)
data_LiNdDyPt
_symmetry_space_group_name_H-M 'P 1'
_symmetry_Int_Tables_number 1
_symmetry_space_group_name_Hall 'P 1'
_cell_length_a 5.070
_cell_length_b 5.070
_cell_length_c 5.070
_cell_angle_alpha 60.00
_cell_angle_beta 60.00
_cell_angle_gamma 60.00
loop_
_atom_site_label
_atom_site_type_symbol
_atom_site_fract_x
_atom_site_fract_y
_atom_site_fract_z
Pt1 Pt 0.750 0.750 0.750
Li1 Li 0.250 0.250 0.250
Nd1 Nd 0.000 0.000 0.000
Dy1 Dy 0.500 0.500 0.500
# total moment = 0.00 μB per cell
# electronic total energy = -0.361 Ry/atom
# DFT formation energy = -0.59 eV per atom



(3)
# CaSc2AgCl (PBE-GGA, optimized geometry)
data_CaSc2AgCl
_symmetry_space_group_name_H-M 'P 1'
_symmetry_Int_Tables_number 1
_symmetry_space_group_name_Hall 'P 1'
_cell_length_a 5.776
_cell_length_b 5.136
_cell_length_c 5.776
_cell_angle_alpha 90.00
_cell_angle_beta 90.00
_cell_angle_gamma 90.00
loop_
_atom_site_label
_atom_site_type_symbol
_atom_site_fract_x
_atom_site_fract_y
_atom_site_fract_z
Sc1 Sc 0.000 0.000 0.500
Sc2 Sc 0.500 0.000 0.000
Ca1 Ca 0.000 0.000 0.000
Ag1 Ag 0.000 0.500 0.000
Cl1 Cl 0.500 0.500 0.500
# total moment = 0.64 μB per cell
# electronic total energy = -0.215 Ry/atom
# uncorrected formation energy = 4.72 eV per formula unit



(4)
# TiGaTc2 (PBE-GGA, optimized geometry)
data_TiGaTc2
_symmetry_space_group_name_H-M 'P 1'
_symmetry_Int_Tables_number 1
_symmetry_space_group_name_Hall 'P 1'
_cell_length_a 6.862
_cell_length_b 6.862
_cell_length_c 5.563
_cell_angle_alpha 51.92
_cell_angle_beta 51.92
_cell_angle_gamma 90.00
loop_
_atom_site_label
_atom_site_type_symbol
_atom_site_fract_x
_atom_site_fract_y
_atom_site_fract_z
Tc1 Tc 0.622 0.125 0.250
Tc2 Tc 0.375 0.378 0.750
Tc3 Tc 0.875 0.872 0.750
Tc4 Tc 0.128 0.625 0.250
Ti1 Ti 0.500 0.500 0.000
Ti2 Ti 0.250 0.750 0.500
Ga1 Ga 0.750 0.250 0.500
Ga2 Ga 0.000 0.000 0.000
# total moment = 0.00 μB per cell
# electronic total energy = -0.554 Ry/atom
# DFT formation energy = 0.37 eV per atom



(5)
# CaHg2 (PBE-GGA, optimized geometry)
data_CaHg2
_symmetry_space_group_name_H-M 'P 1'
_symmetry_Int_Tables_number 1
_symmetry_space_group_name_Hall 'P 1'
_cell_length_a 3.604
_cell_length_b 5.003
_cell_length_c 5.003
_cell_angle_alpha 119.99
_cell_angle_beta 90.00
_cell_angle_gamma 90.00
loop_
_atom_site_label
_atom_site_type_symbol
_atom_site_fract_x
_atom_site_fract_y
_atom_site_fract_z
Hg1 Hg 0.000 0.167 0.833
Hg2 Hg 0.000 0.833 0.167
Ca1 Ca 0.500 0.500 0.500
# total moment = 0.00 μB per cell
# electronic total energy = -0.097 Ry/atom
# DFT formation energy = -0.45 eV per atom



(6)
# PdPtF2 (PBE-GGA, optimized geometry)
data_PdPtF2
_symmetry_space_group_name_H-M 'P 1'
_symmetry_Int_Tables_number 1
_symmetry_space_group_name_Hall 'P 1'
_cell_length_a 8.326
_cell_length_b 8.326
_cell_length_c 8.326
_cell_angle_alpha 19.10
_cell_angle_beta 19.10
_cell_angle_gamma 19.10
loop_
_atom_site_label
_atom_site_type_symbol
_atom_site_fract_x
_atom_site_fract_y
_atom_site_fract_z
F1 F 0.919 0.919 0.919
F2 F 0.081 0.081 0.081
Pt1 Pt 0.500 0.500 0.500
Pd1 Pd 0.000 0.000 0.000
# total moment = 0.86 μB per cell
# electronic total energy = -0.305 Ry/atom
# uncorrected formation energy = -1.60 eV per formula unit



(7)
# V2SiIr4 (PBE-GGA, optimized geometry)
data_V2SiIr4
_symmetry_space_group_name_H-M 'P 1'
_symmetry_Int_Tables_number 1
_symmetry_space_group_name_Hall 'P 1'
_cell_length_a 4.360
_cell_length_b 4.360
_cell_length_c 7.046
_cell_angle_alpha 71.98
_cell_angle_beta 71.98
_cell_angle_gamma 90.00
loop_
_atom_site_label
_atom_site_type_symbol
_atom_site_fract_x
_atom_site_fract_y
_atom_site_fract_z
Ir1 Ir 0.500 0.000 0.000
Ir2 Ir 0.187 0.187 0.626
Ir3 Ir 0.000 0.500 0.000
Ir4 Ir 0.813 0.813 0.374
V1 V 0.638 0.638 0.725
V2 V 0.362 0.362 0.275
Si1 Si 0.000 0.000 0.000
# total moment = 2.70 μB per cell
# electronic total energy = -0.572 Ry/atom
# uncorrected formation energy = 4.62 eV per formula unit



(8)
# KTiOs2Br (PBE-GGA, optimized geometry)
data_KTiOs2Br
_symmetry_space_group_name_H-M 'P 1'
_symmetry_Int_Tables_number 1
_symmetry_space_group_name_Hall 'P 1'
_cell_length_a 4.737
_cell_length_b 4.743
_cell_length_c 4.737
_cell_angle_alpha 90.00
_cell_angle_beta 90.00
_cell_angle_gamma 90.00
loop_
_atom_site_label
_atom_site_type_symbol
_atom_site_fract_x
_atom_site_fract_y
_atom_site_fract_z
K1 K 0.500 0.500 0.500
Os1 Os 0.000 0.000 0.500
Os2 Os 0.500 0.000 0.000
Ti1 Ti 0.000 0.500 0.000
Br1 Br 0.000 0.000 0.000
# total moment = 0.01 μB per cell
# electronic total energy = -0.359 Ry/atom
# uncorrected formation energy = 8.73 eV per formula unit